Computed, not measured: a geometry-optimized Zn2IrPt structure at the GGA-PBEsol level of DFT.

a = 4.185 Å, b = 4.185 Å, c = 3.113 Å
α = 90.00°, β = 90.00°, γ = 90.00°
Space group P4/mmm (No. 123)
Unique sites:
Zn: 0.000 0.500 0.000 (multiplicity 2)
Ir: 0.000 0.000 0.500 (multiplicity 1)
Pt: 0.500 0.500 0.500 (multiplicity 1)

Results
* formation enthalpy at 0 K: -0.350 eV/atom
* DOS(E_F): 0.315 states/eV per atom
* total magnetic moment: 0.00 μB per formula unit

---

Computed, not measured: a geometry-optimized Zn2IrPt structure at the GGA-PBEsol level of DFT.

a = 8.493 Å, b = 2.790 Å, c = 4.808 Å
α = 90.00°, β = 101.01°, γ = 90.00°
Space group C2/m (No. 12)
Unique sites:
Zn: 0.248 0.000 0.244 (multiplicity 4)
Ir: 0.000 0.500 0.000 (multiplicity 2)
Pt: 0.000 0.000 0.500 (multiplicity 2)

Results
* formation enthalpy at 0 K: -0.251 eV/atom
* DOS(E_F): 0.548 states/eV per atom
* total magnetic moment: 0.00 μB per formula unit